Entry from the Alexandria database: a relaxed structure of MgTlOs2O8 (PBE).

a = 5.8172 Å, b = 5.8172 Å, c = 7.5793 Å
α = 90.00°, β = 90.00°, γ = 120.00°
Space group P-3 (No. 147)
Unique sites:
Mg  0.0000  0.0000  0.0000 [1 per cell]
Tl  0.0000  0.0000  0.5000 [1 per cell]
Os  0.3333  0.6667  0.2374 [2 per cell]
O  0.1616  0.3276  0.1670 [6 per cell]
O  0.3333  0.6667  0.4711 [2 per cell]

Calculated values
As for the uncorrected energy: -6.681 eV/atom. The formation energy from raw total energies comes out at -1174 meV/atom. The density of states at the Fermi level comes out at 8.573 states/eV/cell.